Record 1
In2BPd6, optimized geometry, DFT PBE-GGA; E = -95.16 eV for the cell shown; SG = P6_3mc (186)
1.0
5.821 0.000 0.000
-2.911 5.041 0.000
0.000 0.000 9.580
In B Pd
4 2 12
Direct
0.000 0.000 0.000
0.000 0.000 0.500
0.333 0.667 0.245
0.667 0.333 0.745
0.333 0.667 0.620
0.667 0.333 0.120
0.005 0.503 0.992
0.165 0.330 0.748
0.165 0.835 0.748
0.330 0.165 0.248
0.497 0.503 0.992
0.497 0.995 0.992
0.503 0.005 0.492
0.503 0.497 0.492
0.670 0.835 0.748
0.835 0.165 0.248
0.835 0.670 0.248
0.995 0.497 0.492



Record 2
InBPd4, optimized geometry, DFT PBE-GGA; E = -64.73 eV for the cell shown; SG = C2/m (12)
1.0
6.945 -2.822 0.000
6.945 2.822 0.000
-1.678 0.000 4.545
In B Pd
2 2 8
Direct
0.193 0.193 0.193
0.807 0.807 0.807
0.500 0.500 0.321
0.500 0.500 0.679
0.130 0.638 0.384
0.246 0.754 0.000
0.309 0.309 0.810
0.362 0.870 0.616
0.638 0.130 0.384
0.691 0.691 0.190
0.754 0.246 0.000
0.870 0.362 0.616



Record 3
In2BPd, optimized geometry, DFT PBE-GGA; E = -61.02 eV for the cell shown; SG = I-42d (122)
1.0
6.960 0.000 0.000
0.000 6.960 0.000
0.000 0.000 6.108
In B Pd
8 4 4
Direct
0.199 0.250 0.125
0.250 0.699 0.375
0.250 0.801 0.875
0.301 0.250 0.625
0.699 0.750 0.625
0.750 0.199 0.875
0.750 0.301 0.375
0.801 0.750 0.125
0.000 0.000 0.000
0.000 0.500 0.250
0.500 0.000 0.750
0.500 0.500 0.500
0.000 0.000 0.500
0.000 0.500 0.750
0.500 0.000 0.250
0.500 0.500 0.000



Record 4
InBPd2, optimized geometry, DFT PBE-GGA; E = -77.44 eV for the cell shown; SG = I-42d (122)
1.0
5.647 0.000 0.000
0.000 5.647 0.000
0.000 0.000 9.581
In B Pd
4 4 8
Direct
0.000 0.000 0.000
0.000 0.500 0.250
0.500 0.000 0.750
0.500 0.500 0.500
0.000 0.000 0.500
0.000 0.500 0.750
0.500 0.000 0.250
0.500 0.500 0.000
0.145 0.250 0.625
0.250 0.645 0.875
0.250 0.855 0.375
0.355 0.250 0.125
0.645 0.750 0.125
0.750 0.145 0.375
0.750 0.355 0.875
0.855 0.750 0.625



Record 5
InB3Pd, optimized geometry, DFT PBE-GGA; E = -21.32 eV for the cell shown; SG = Pm-3m (221); distance to the lowest polymorph of the same formula = 0.000 eV/atom
1.0
4.201 0.000 0.000
0.000 4.201 0.000
0.000 0.000 4.201
In B Pd
1 3 1
Direct
0.000 0.000 0.000
0.000 0.500 0.500
0.500 0.000 0.500
0.500 0.500 0.000
0.500 0.500 0.500



Record 6
In4B2Pd, optimized geometry, DFT PBE-GGA; E = -52.60 eV for the cell shown; SG = I4/mmm (139)
1.0
5.371 0.000 0.000
0.000 5.371 0.000
0.000 0.000 11.080
In B Pd
8 4 2
Direct
0.000 0.000 0.231
0.000 0.000 0.769
0.000 0.500 0.000
0.000 0.500 0.500
0.500 0.000 0.000
0.500 0.000 0.500
0.500 0.500 0.269
0.500 0.500 0.731
0.000 0.000 0.430
0.000 0.000 0.570
0.500 0.500 0.070
0.500 0.500 0.930
0.000 0.000 0.000
0.500 0.500 0.500



Record 7
InBPd5, optimized geometry, DFT PBE-GGA; E = -37.26 eV for the cell shown; SG = P4/mmm (123); distance to the lowest polymorph of the same formula = 0.000 eV/atom
1.0
3.887 0.000 0.000
0.000 3.887 0.000
0.000 0.000 6.924
In B Pd
1 1 5
Direct
0.000 0.000 0.000
0.500 0.500 0.500
0.000 0.500 0.310
0.000 0.500 0.690
0.500 0.000 0.310
0.500 0.000 0.690
0.500 0.500 0.000



Record 8
InBPd5, optimized geometry, DFT PBE-GGA; E = -72.00 eV for the cell shown; SG = C2/c (15); distance to the lowest polymorph of the same formula = 0.180 eV/atom
1.0
4.351 -4.495 0.000
4.351 4.495 0.000
-4.301 0.000 5.980
In B Pd
2 2 10
Direct
0.153 0.847 0.750
0.847 0.153 0.250
0.500 0.500 0.000
0.500 0.500 0.500
0.006 0.774 0.019
0.157 0.413 0.764
0.226 0.994 0.481
0.388 0.612 0.250
0.413 0.157 0.264
0.587 0.843 0.736
0.612 0.388 0.750
0.774 0.006 0.519
0.843 0.587 0.236
0.994 0.226 0.981



Record 9
InBPd6, optimized geometry, DFT PBE-GGA; E = -42.35 eV for the cell shown; SG = R-3m (166)
1.0
3.914 2.260 2.404
-3.914 2.260 2.404
0.000 -4.519 2.404
In B Pd
1 1 6
Direct
0.000 0.000 0.000
0.500 0.500 0.500
0.213 0.213 0.590
0.213 0.590 0.213
0.410 0.787 0.787
0.590 0.213 0.213
0.787 0.410 0.787
0.787 0.787 0.410



Record 10
In5B2Pd12, optimized geometry, DFT PBE-GGA; E = -95.21 eV for the cell shown; SG = C2/m (12)
1.0
7.394 -3.085 0.000
7.394 3.085 0.000
-2.534 0.000 7.202
In B Pd
5 2 12
Direct
0.000 0.000 0.000
0.250 0.250 0.002
0.252 0.252 0.495
0.748 0.748 0.505
0.750 0.750 0.998
0.258 0.742 0.500
0.742 0.258 0.500
0.045 0.045 0.365
0.104 0.590 0.819
0.109 0.609 0.306
0.391 0.891 0.694
0.410 0.896 0.181
0.465 0.465 0.659
0.535 0.535 0.341
0.590 0.104 0.819
0.609 0.109 0.306
0.891 0.391 0.694
0.896 0.410 0.181
0.955 0.955 0.635



Record 11
In2BPd6, optimized geometry, DFT PBE-GGA; E = -45.57 eV for the cell shown; SG = C2/m (12)
1.0
5.850 -2.849 0.000
5.850 2.849 0.000
-0.760 0.000 4.544
In B Pd
2 1 6
Direct
0.199 0.199 0.077
0.801 0.801 0.923
0.500 0.500 0.500
0.116 0.617 0.445
0.266 0.734 0.000
0.383 0.884 0.555
0.617 0.116 0.445
0.734 0.266 0.000
0.884 0.383 0.555



Record 12
InB2Pd, optimized geometry, DFT PBE-GGA; E = -72.05 eV for the cell shown; SG = I-42d (122)
1.0
5.372 0.000 0.000
0.000 5.372 0.000
0.000 0.000 9.133
In B Pd
4 8 4
Direct
0.000 0.000 0.000
0.000 0.500 0.250
0.500 0.000 0.750
0.500 0.500 0.500
0.195 0.250 0.625
0.250 0.695 0.875
0.250 0.805 0.375
0.305 0.250 0.125
0.695 0.750 0.125
0.750 0.195 0.375
0.750 0.305 0.875
0.805 0.750 0.625
0.000 0.000 0.500
0.000 0.500 0.750
0.500 0.000 0.250
0.500 0.500 0.000



Calculated E_form (eV/atom), listed in the same order as above: -0.47, -0.36, 0.52, 0.11, 1.33, 0.46, -0.27, -0.09, -0.22, -0.31, -0.25, 0.82